1.
Re2TcAg after structural relaxation. Source: the Alexandria database, functional PBE-GGA.

```
Re2TcAg
1.0
-1.955 1.955 3.990
1.955 -1.955 3.990
1.955 1.955 -3.990
Re Tc Ag
2 1 1
direct
0.250 0.750 0.500
0.750 0.250 0.500
0.000 0.000 0.000
0.500 0.500 0.000
```

Output
Magnetic moment (μB per formula unit): 0.00
E (eV for the cell shown): -35.9
Theoretical density (kg/m³): 15746
ΔE_f (meV/atom): 553
Density of states at the Fermi level (states/eV per cell): 4.43
SG: I4/mmm, No. 139



2.
K3YSc2Se6 after structural relaxation. Source: the Alexandria database, functional PBE-GGA.

```
K3YSc2Se6
1.0
3.535 -6.124 0.000
3.535 6.124 0.000
-2.361 0.000 7.641
K Y Sc Se
3 1 2 6
direct
0.000 0.000 0.000
0.336 0.664 0.000
0.664 0.336 0.000
0.500 0.500 0.500
0.167 0.833 0.500
0.833 0.167 0.500
0.088 0.434 0.301
0.221 0.221 0.698
0.434 0.088 0.301
0.566 0.912 0.699
0.779 0.779 0.302
0.912 0.566 0.699
```

Output
Magnetic moment (μB per formula unit): 0.00
Raw formation energy (eV/atom): -1.667
E (eV for the cell shown): -63.3
Theoretical density (kg/m³): 3864
Density of states at the Fermi level (states/eV per cell): 0.00
SG: C2/m, No. 12



3.
BaBePCl2 after structural relaxation. Source: the Alexandria database, functional PBE-GGA.

```
BaBePCl2
1.0
5.047 0.000 0.000
0.000 5.047 0.000
0.000 0.000 4.400
Ba Be P Cl
1 1 1 2
direct
0.000 0.000 0.000
0.500 0.500 0.500
0.500 0.500 0.000
0.000 0.500 0.500
0.500 0.000 0.500
```

Output
Magnetic moment (μB per formula unit): 0.95
Raw formation energy (eV/atom): -0.970
E (eV for the cell shown): -19.6
Theoretical density (kg/m³): 3677
Density of states at the Fermi level (states/eV per cell): 1.85
SG: P4/mmm, No. 123



4.
CaZnSeN2 after structural relaxation. Source: the Alexandria database, functional PBE-GGA.

```
CaZnSeN2
1.0
4.232 0.000 0.000
0.000 4.232 0.000
0.000 0.000 4.520
Ca Zn Se N
1 1 1 2
direct
0.000 0.000 0.000
0.500 0.500 0.000
0.500 0.500 0.500
0.000 0.500 0.500
0.500 0.000 0.500
```

Output
Magnetic moment (μB per formula unit): 0.00
Raw formation energy (eV/atom): 1.003
E (eV for the cell shown): -18.4
Theoretical density (kg/m³): 4357
Density of states at the Fermi level (states/eV per cell): 2.58
SG: P4/mmm, No. 123



5.
Tb2NpUP4 after structural relaxation. Source: the Alexandria database, functional PBE-GGA.

```
Tb2NpUP4
1.0
6.867 0.000 0.000
0.000 3.970 0.000
-2.293 0.000 6.555
Tb Np U P
2 1 1 4
direct
0.000 0.000 0.000
0.500 0.500 0.000
0.000 0.500 0.500
0.500 0.000 0.500
0.249 0.000 0.743
0.254 0.500 0.257
0.746 0.500 0.743
0.751 0.000 0.257
```

Output
Magnetic moment (μB per formula unit): 5.88
E (eV for the cell shown): -65.3
Theoretical density (kg/m³): 8519
ΔE_f (meV/atom): -1269
Density of states at the Fermi level (states/eV per cell): 10.47
SG: P2/m, No. 10



6.
CoSnBiSb2 after structural relaxation. Source: the Alexandria database, functional PBE-GGA.

```
CoSnBiSb2
1.0
5.700 0.000 0.000
0.000 5.700 0.000
0.000 0.000 4.765
Co Sn Bi Sb
1 1 1 2
direct
0.000 0.000 0.000
0.000 0.000 0.500
0.500 0.500 0.000
0.000 0.500 0.500
0.500 0.000 0.500
```

Output
Magnetic moment (μB per formula unit): 1.86
Raw formation energy (eV/atom): 0.868
E (eV for the cell shown): -18.9
Theoretical density (kg/m³): 6760
Density of states at the Fermi level (states/eV per cell): 5.64
SG: P4/mmm, No. 123



7.
Sm2ScInO after structural relaxation. Source: the Alexandria database, functional PBE-GGA.

```
Sm2ScInO
1.0
4.959 0.000 0.000
0.000 4.959 0.000
0.000 0.000 4.443
Sm Sc In O
2 1 1 1
direct
0.000 0.500 0.000
0.500 0.000 0.000
0.000 0.000 0.500
0.500 0.500 0.500
0.000 0.000 0.000
```

Output
Magnetic moment (μB per formula unit): 0.00
Raw formation energy (eV/atom): -1.417
E (eV for the cell shown): -30.6
Theoretical density (kg/m³): 7243
Density of states at the Fermi level (states/eV per cell): 3.79
SG: P4/mmm, No. 123



8.
SmMg2Pb after structural relaxation. Source: the Alexandria database, functional PBE-GGA.

```
SmMg2Pb
1.0
1.684 0.972 11.708
-1.684 0.972 11.708
0.000 -1.944 11.708
Sm Mg Pb
1 2 1
direct
0.000 0.000 0.000
0.092 0.092 0.092
0.908 0.908 0.908
0.500 0.500 0.500
```

Output
Magnetic moment (μB per formula unit): 0.00
E (eV for the cell shown): -11.0
Theoretical density (kg/m³): 5867
ΔE_f (meV/atom): 164
Density of states at the Fermi level (states/eV per cell): 2.43
SG: R-3m, No. 166



9.
Mg2Tl2Se after structural relaxation. Source: the Alexandria database, functional PBE-GGA.

```
Mg2Tl2Se
1.0
7.101 0.000 0.000
0.000 7.101 0.000
0.000 0.000 5.245
Mg Tl Se
4 4 2
direct
0.149 0.351 0.000
0.351 0.851 0.000
0.649 0.149 0.000
0.851 0.649 0.000
0.158 0.658 0.500
0.342 0.158 0.500
0.658 0.842 0.500
0.842 0.342 0.500
0.000 0.000 0.000
0.500 0.500 0.000
```

Output
Magnetic moment (μB per formula unit): 0.00
Raw formation energy (eV/atom): -0.251
E (eV for the cell shown): -25.3
Theoretical density (kg/m³): 6735
Density of states at the Fermi level (states/eV per cell): 2.53
SG: P4/mbm, No. 127



10.
K3TbOs2O9 after structural relaxation. Source: the Alexandria database, functional PBE-GGA.

```
K3TbOs2O9
1.0
5.745 0.000 0.000
-2.873 4.976 0.000
0.000 0.000 7.128
K Tb Os O
3 1 2 9
direct
0.000 0.000 0.000
0.333 0.667 0.664
0.667 0.333 0.336
0.000 0.000 0.500
0.333 0.667 0.153
0.667 0.333 0.847
0.000 0.500 0.000
0.179 0.358 0.308
0.179 0.821 0.308
0.358 0.179 0.692
0.500 0.000 0.000
0.500 0.500 0.000
0.642 0.821 0.308
0.821 0.179 0.692
0.821 0.642 0.692
```

Output
Magnetic moment (μB per formula unit): 0.00
Raw formation energy (eV/atom): -1.725
E (eV for the cell shown): -100.9
Theoretical density (kg/m³): 6524
Density of states at the Fermi level (states/eV per cell): 3.60
SG: P-3m1, No. 164



11.
TmScTlGa after structural relaxation. Source: the Alexandria database, functional PBE-GGA.

```
TmScTlGa
1.0
3.464 0.000 0.000
0.000 3.464 0.000
0.000 0.000 7.581
Tm Sc Tl Ga
1 1 1 1
direct
0.000 0.000 0.000
0.000 0.000 0.540
0.500 0.500 0.283
0.500 0.500 0.759
```

Output
Magnetic moment (μB per formula unit): 0.00
E (eV for the cell shown): -17.9
Theoretical density (kg/m³): 8908
ΔE_f (meV/atom): -415
Density of states at the Fermi level (states/eV per cell): 1.80
SG: P4mm, No. 99



12.
CaHo2GaAu4 after structural relaxation. Source: the Alexandria database, functional PBE-GGA.

```
CaHo2GaAu4
1.0
2.480 1.432 8.162
-2.480 1.432 8.162
0.000 -2.863 8.162
Ca Ho Ga Au
1 2 1 4
direct
0.000 0.000 0.000
0.243 0.243 0.243
0.757 0.757 0.757
0.500 0.500 0.500
0.123 0.123 0.123
0.377 0.377 0.377
0.623 0.623 0.623
0.877 0.877 0.877
```

Output
Magnetic moment (μB per formula unit): 0.00
E (eV for the cell shown): -33.2
Theoretical density (kg/m³): 11725
ΔE_f (meV/atom): -738
Density of states at the Fermi level (states/eV per cell): 4.06
SG: R-3m, No. 166



13.
Tl2CuPSe4 after structural relaxation. Source: the Alexandria database, functional PBE-GGA.

```
Tl2CuPSe4
1.0
6.613 0.000 0.000
-2.467 6.137 0.000
-1.677 -3.333 5.462
Tl Cu P Se
2 1 1 4
direct
0.000 0.000 0.000
0.251 0.500 0.750
0.500 0.000 0.501
0.751 0.500 0.250
0.122 0.587 0.262
0.466 0.140 0.879
0.677 0.414 0.536
0.739 0.860 0.325
```

Output
Magnetic moment (μB per formula unit): 0.00
Raw formation energy (eV/atom): -0.250
E (eV for the cell shown): -30.2
Theoretical density (kg/m³): 6137
SG: P1, No. 1